Entry from Alexandria: Li2TbAs2Pd2 after structural relaxation (GGA-PBE).

Values from the calculation:
Formation enthalpy at 0 K in eV per atom: -0.8862
N(E_F) in states/eV/cell: 2.25
E_tot in eV per atom: -4.907

a b c (Å): 8.0509 8.0509 8.0509
angles (deg): 30.82 30.82 30.82
With the nearest neighbours (Å) after each atom.
Positions (direct):
Li 0.1413 0.1413 0.1413  4 As 2.62-2.87, 3 Pd 2.71, 3 Li 2.73
Li 0.8587 0.8587 0.8587  4 As 2.62-2.87, 3 Pd 2.71, 3 Li 2.73
Tb 0.0000 0.0000 0.0000  6 As 3.06, 2 Li 3.25, 6 Pd 3.26
As 0.2551 0.2551 0.2551  3 Pd 2.49, 1 Li 2.62
As 0.7449 0.7449 0.7449  3 Pd 2.49, 1 Li 2.62
Pd 0.4258 0.4258 0.4258  3 As 2.49, 3 Li 2.71
Pd 0.5742 0.5742 0.5742  3 As 2.49, 3 Li 2.71

=====

Entry from Alexandria: Li2ThAs2Pd2 after structural relaxation (GGA-PBE).

Values from the calculation:
Formation enthalpy at 0 K in eV per atom: -0.9122
N(E_F) in states/eV/cell: 1.35
E_tot in eV per atom: -5.331

a b c (Å): 8.0534 8.0534 8.0534
angles (deg): 31.25 31.25 31.25
With the nearest neighbours (Å) after each atom.
Positions (direct):
Li 0.1423 0.1423 0.1423  4 As 2.60-2.91, 3 Pd 2.74, 3 Li 2.74
Li 0.8577 0.8577 0.8577  4 As 2.60-2.91, 3 Pd 2.74, 3 Li 2.74
Th 0.0000 0.0000 0.0000  6 As 3.07, 2 Li 3.27, 6 Pd 3.31
As 0.2557 0.2557 0.2557  3 Pd 2.53, 1 Li 2.60
As 0.7443 0.7443 0.7443  3 Pd 2.53, 1 Li 2.60
Pd 0.4278 0.4278 0.4278  3 As 2.53, 3 Li 2.74
Pd 0.5722 0.5722 0.5722  3 As 2.53, 3 Li 2.74

=====

Entry from Alexandria: LiTiAsPd after structural relaxation (GGA-PBE).

Values from the calculation:
Formation enthalpy at 0 K in eV per atom: -0.6104
N(E_F) in states/eV/cell: 1.71
E_tot in eV per atom: -5.523

a b c (Å): 4.3949 4.3949 4.3949
angles (deg): 60.00 60.00 60.00
With the nearest neighbours (Å) after each atom.
Positions (direct):
Li 0.0000 0.0000 0.0000  4 As 2.69, 4 Pd 2.69
Ti 0.5000 0.5000 0.5000  4 As 2.69, 4 Pd 2.69
As 0.7500 0.7500 0.7500  4 Li 2.69, 4 Ti 2.69
Pd 0.2500 0.2500 0.2500  4 Ti 2.69, 4 Li 2.69

=====

Entry from Alexandria: LiTlAsPd after structural relaxation (GGA-PBE).

Values from the calculation:
Formation enthalpy at 0 K in eV per atom: -0.2341
N(E_F) in states/eV/cell: 3.88
E_tot in eV per atom: -3.765

a b c (Å): 4.6946 4.6946 4.6946
angles (deg): 60.00 60.00 60.00
With the nearest neighbours (Å) after each atom.
Positions (direct):
Li 0.0000 0.0000 0.0000  4 Tl 2.87, 4 As 2.87
Tl 0.7500 0.7500 0.7500  4 Li 2.87, 4 Pd 2.87
As 0.2500 0.2500 0.2500  4 Pd 2.87, 4 Li 2.87
Pd 0.5000 0.5000 0.5000  4 Tl 2.87, 4 As 2.87

=====

Entry from Alexandria: LiTlAsPd2 after structural relaxation (GGA-PBE).

Values from the calculation:
Formation enthalpy at 0 K in eV per atom: 0.6324
N(E_F) in states/eV/cell: 2.76
E_tot in eV per atom: -3.231

a b c (Å): 5.0420 5.0420 4.6831
angles (deg): 90.00 90.00 90.00
With the nearest neighbours (Å) after each atom.
Positions (direct):
Li 0.0000 0.0000 0.0000  2 Tl 2.34
Tl 0.0000 0.0000 0.5000  2 Li 2.34, 4 Pd 2.52
As 0.5000 0.5000 0.0000  8 Pd 3.44, 4 Li 3.57
Pd 0.0000 0.5000 0.5000  2 Tl 2.52
Pd 0.5000 0.0000 0.5000  2 Tl 2.52

=====

Entry from Alexandria: Li2TmAs2Pd2 after structural relaxation (GGA-PBE).

Values from the calculation:
Formation enthalpy at 0 K in eV per atom: -0.8603
N(E_F) in states/eV/cell: 2.30
E_tot in eV per atom: -4.858

a b c (Å): 7.9687 7.9687 7.9687
angles (deg): 31.06 31.06 31.06
With the nearest neighbours (Å) after each atom.
Positions (direct):
Li 0.1412 0.1412 0.1412  4 As 2.62-2.87, 3 Pd 2.72, 3 Li 2.72
Li 0.8588 0.8588 0.8588  4 As 2.62-2.87, 3 Pd 2.72, 3 Li 2.72
Tm 0.0000 0.0000 0.0000  6 As 3.02, 2 Li 3.21, 6 Pd 3.21
As 0.2565 0.2565 0.2565  3 Pd 2.48, 1 Li 2.62
As 0.7435 0.7435 0.7435  3 Pd 2.48, 1 Li 2.62
Pd 0.4242 0.4242 0.4242  3 As 2.48, 3 Li 2.72
Pd 0.5758 0.5758 0.5758  3 As 2.48, 3 Li 2.72

=====

Entry from Alexandria: LiTmAsPd after structural relaxation (GGA-PBE).

Values from the calculation:
Formation enthalpy at 0 K in eV per atom: -0.8144
N(E_F) in states/eV/cell: 1.37
E_tot in eV per atom: -4.871

a b c (Å): 4.7083 4.7083 4.7083
angles (deg): 60.00 60.00 60.00
With the nearest neighbours (Å) after each atom.
Positions (direct):
Li 0.0000 0.0000 0.0000  4 As 2.88, 4 Pd 2.88
Tm 0.5000 0.5000 0.5000  4 Pd 2.88, 4 As 2.88
As 0.2500 0.2500 0.2500  4 Tm 2.88, 4 Li 2.88
Pd 0.7500 0.7500 0.7500  4 Li 2.88, 4 Tm 2.88

=====

Entry from Alexandria: Li2UAs2Pd after structural relaxation (GGA-PBE).

Values from the calculation:
Formation enthalpy at 0 K in eV per atom: -0.6451
N(E_F) in states/eV/cell: 10.42
E_tot in eV per atom: -5.580

a b c (Å): 4.2483 7.7617 6.7904
angles (deg): 90.00 90.00 90.00
With the nearest neighbours (Å) after each atom.
Positions (direct):
Li 0.0000 0.0704 0.0000  3 As 2.75-2.84, 2 Li 2.94, 1 Pd 3.05
Li 0.0000 0.9296 0.5000  3 As 2.75-2.84, 2 Li 2.94, 1 Pd 3.05
Li 0.5000 0.1575 0.3535  4 As 2.52-2.75
Li 0.5000 0.8425 0.8535  4 As 2.52-2.75
U 0.5000 0.4548 0.9644  5 As 2.80-3.00, 2 Pd 3.00, 1 Li 3.10
U 0.5000 0.5452 0.4644  5 As 2.80-3.00, 2 Pd 3.00, 1 Li 3.10
As 0.0000 0.3578 0.2372  2 Pd 2.63-2.71, 3 Li 2.75, 2 U 2.92
As 0.0000 0.6422 0.7372  2 Pd 2.63-2.71, 3 Li 2.75, 2 U 2.92
As 0.5000 0.1519 0.7396  2 Li 2.52-2.62, 2 Pd 2.58, 1 U 2.80
As 0.5000 0.8481 0.2396  2 Li 2.52-2.62, 2 Pd 2.58, 1 U 2.80
Pd 0.0000 0.3087 0.6199  4 As 2.58-2.71
Pd 0.0000 0.6913 0.1199  4 As 2.58-2.71

=====

Entry from Alexandria: LiUAsPd after structural relaxation (GGA-PBE).

Values from the calculation:
Formation enthalpy at 0 K in eV per atom: -0.4215
N(E_F) in states/eV/cell: 7.86
E_tot in eV per atom: -6.183

a b c (Å): 4.7536 4.7536 4.7536
angles (deg): 60.00 60.00 60.00
With the nearest neighbours (Å) after each atom.
Positions (direct):
Li 0.0000 0.0000 0.0000  4 As 2.91, 4 Pd 2.91
U 0.5000 0.5000 0.5000  4 Pd 2.91, 4 As 2.91
As 0.2500 0.2500 0.2500  4 U 2.91, 4 Li 2.91
Pd 0.7500 0.7500 0.7500  4 Li 2.91, 4 U 2.91

=====

Entry from Alexandria: Li2UAs2Pd2 after structural relaxation (GGA-PBE).

Values from the calculation:
Formation enthalpy at 0 K in eV per atom: -0.6674
N(E_F) in states/eV/cell: 7.01
E_tot in eV per atom: -5.639

a b c (Å): 7.9190 7.9190 7.9190
angles (deg): 31.34 31.34 31.34
With the nearest neighbours (Å) after each atom.
Positions (direct):
Li 0.1433 0.1433 0.1433  4 As 2.62-2.92, 3 Li 2.68, 3 Pd 2.69
Li 0.8567 0.8567 0.8567  4 As 2.62-2.92, 3 Li 2.68, 3 Pd 2.69
U 0.0000 0.0000 0.0000  6 As 2.98, 2 Li 3.24, 6 Pd 3.29
As 0.2593 0.2593 0.2593  3 Pd 2.52, 1 Li 2.62
As 0.7407 0.7407 0.7407  3 Pd 2.52, 1 Li 2.62
Pd 0.4294 0.4294 0.4294  3 As 2.52, 3 Li 2.69
Pd 0.5706 0.5706 0.5706  3 As 2.52, 3 Li 2.69

=====

Entry from Alexandria: Li2VAsPd after structural relaxation (GGA-PBE).

Values from the calculation:
Formation enthalpy at 0 K in eV per atom: 0.5171
N(E_F) in states/eV/cell: 9.61
E_tot in eV per atom: -4.041

a b c (Å): 4.5014 4.5014 4.7233
angles (deg): 90.00 90.00 90.00
With the nearest neighbours (Å) after each atom.
Positions (direct):
Li 0.0000 0.5000 0.0000  2 As 2.25
Li 0.5000 0.0000 0.0000  2 As 2.25
V 0.0000 0.0000 0.5000  4 Pd 3.18, 8 Li 3.26
As 0.5000 0.5000 0.0000  4 Li 2.25, 2 Pd 2.36
Pd 0.5000 0.5000 0.5000  2 As 2.36

=====

Entry from Alexandria: Li2YAs2Pd2 after structural relaxation (GGA-PBE).

Values from the calculation:
Formation enthalpy at 0 K in eV per atom: -0.8850
N(E_F) in states/eV/cell: 2.26
E_tot in eV per atom: -5.167

a b c (Å): 8.0506 8.0506 8.0506
angles (deg): 30.81 30.81 30.81
With the nearest neighbours (Å) after each atom.
Positions (direct):
Li 0.1412 0.1412 0.1412  4 As 2.62-2.86, 3 Pd 2.71, 3 Li 2.73
Li 0.8588 0.8588 0.8588  4 As 2.62-2.86, 3 Pd 2.71, 3 Li 2.73
Y 0.0000 0.0000 0.0000  6 As 3.05, 2 Li 3.25, 6 Pd 3.25
As 0.2551 0.2551 0.2551  3 Pd 2.49, 1 Li 2.62
As 0.7449 0.7449 0.7449  3 Pd 2.49, 1 Li 2.62
Pd 0.4255 0.4255 0.4255  3 As 2.49, 3 Li 2.71
Pd 0.5745 0.5745 0.5745  3 As 2.49, 3 Li 2.71